# 1
First-principles (PBE) data for a relaxed structure of CaAc2Hf, as listed in Alexandria.

Cell: 3.584 3.584 13.353 Å, 82.29 82.29 60.00°
Atoms (fractional coordinates):
Ac1 0.081 0.081 0.758
Ac2 0.919 0.919 0.242
Hf1 0.000 0.000 0.000
Ca1 0.500 0.500 0.500

formation enthalpy at 0 K: 0.561 eV per atom
density: 7610 kg/m³
space group: No. 166
total DFT energy (no corrections): -17.93 eV for the cell shown


# 2
First-principles (PBE) data for a relaxed structure of Ca2AcHg, as listed in Alexandria.

Cell: 3.832 3.832 12.257 Å, 81.01 81.01 60.00°
Atoms (fractional coordinates):
Ac1 0.000 0.000 0.000
Ca1 0.104 0.104 0.689
Ca2 0.896 0.896 0.311
Hg1 0.500 0.500 0.500

formation enthalpy at 0 K: -0.055 eV per atom
density: 5499 kg/m³
space group: No. 166
E above lowest polymorph: 199.0 meV/atom
total DFT energy (no corrections): -8.63 eV for the cell shown


# 3
First-principles (PBE) data for a relaxed structure of Ca2AcHg2, as listed in Alexandria.

Cell: 5.385 6.352 9.957 Å, 87.70 90.00 90.00°
Atoms (fractional coordinates):
Ca1 0.250 0.856 0.874
Ca2 0.750 0.144 0.126
Ca3 0.250 0.164 0.527
Ca4 0.750 0.836 0.473
Ac1 0.250 0.595 0.241
Ac2 0.750 0.405 0.759
Hg1 0.250 0.650 0.586
Hg2 0.750 0.350 0.414
Hg3 0.250 0.332 0.957
Hg4 0.750 0.668 0.043

formation enthalpy at 0 K: -0.376 eV per atom
density: 6913 kg/m³
space group: No. 11
E above lowest polymorph: 27.4 meV/atom
total DFT energy (no corrections): -21.19 eV for the cell shown


# 4
First-principles (PBE) data for a relaxed structure of CaAc2Hg7, as listed in Alexandria.

Cell: 5.237 5.237 12.506 Å, 90.00 90.00 120.00°
Atoms (fractional coordinates):
Ca1 0.000 0.000 0.922
Ac1 0.667 0.333 0.323
Ac2 0.333 0.667 0.670
Hg1 0.333 0.667 0.420
Hg2 0.333 0.667 0.173
Hg3 0.000 0.000 0.199
Hg4 0.000 0.000 0.509
Hg5 0.667 0.333 0.790
Hg6 0.667 0.333 0.042
Hg7 0.333 0.667 0.935

formation enthalpy at 0 K: -0.356 eV per atom
density: 10612 kg/m³
space group: No. 156
total DFT energy (no corrections): -15.89 eV for the cell shown


The highest formation enthalpy at 0 K belongs to which entry?
CaAc2Hf


Among the records above, which one has the highest formation enthalpy at 0 K?
CaAc2Hf


The lowest formation enthalpy at 0 K belongs to which entry?
Ca2AcHg2


Number 2 is which compound?
Ca2AcHg